Below is SrNiOs2O8 after structural relaxation, with properties calculated at the GGA+U level.

## Properties
Symmetry   P-3 (147)
Uncorrected energy   -6.7222 eV per atom
Crystal system   trigonal

```
data_SrNiOs2O8
_cell_length_a 5.7683
_cell_length_b 5.7683
_cell_length_c 6.8551
_cell_angle_alpha 90.00
_cell_angle_beta 90.00
_cell_angle_gamma 120.00
_space_group_name_H-M_alt 'P 1'
_space_group_IT_number 1
_space_group_name_Hall 'P 1'
loop_
_atom_site_label
_atom_site_type_symbol
_atom_site_fract_x
_atom_site_fract_y
_atom_site_fract_z
Os1 Os 0.6667 0.3333 0.2477
Os2 Os 0.3333 0.6667 0.7523
Sr1 Sr 0.0000 0.0000 0.0000
O1 O 0.8629 0.6869 0.3055
O2 O 0.8239 0.1371 0.3055
O3 O 0.1371 0.3131 0.6945
O4 O 0.1761 0.8629 0.6945
O5 O 0.6667 0.3333 0.9846
O6 O 0.3131 0.1761 0.3055
O7 O 0.6869 0.8239 0.6945
O8 O 0.3333 0.6667 0.0154
Ni1 Ni 0.0000 0.0000 0.5000
```